[1]
A relaxed OsPb2Au crystal. Source: Alexandria via LeMat-Bulk, functional GGA-PBE.

POSCAR file:
```
OsPb2Au
1.0
-2.3164 2.3164 3.9825
2.3164 -2.3164 3.9825
2.3164 2.3164 -3.9825
Os Pb Au
1 2 1
direct
0.0000 0.0000 0.0000
0.2500 0.7500 0.5000
0.7500 0.2500 0.5000
0.5000 0.5000 0.0000
```

Output
Volume   85.5 Å³ per cell
DFT formation energy   766 meV per atom
SG   No. 139

---

[2]
A relaxed Os2PbAu crystal. Source: Alexandria via LeMat-Bulk, functional GGA-PBE.

POSCAR file:
```
Os2PbAu
1.0
4.1999 0.0000 0.0000
0.0000 4.1999 0.0000
0.0000 0.0000 3.9145
Os Pb Au
2 1 1
direct
0.0000 0.5000 0.0000
0.5000 0.0000 0.0000
0.0000 0.0000 0.5000
0.5000 0.5000 0.5000
```

Output
Volume   69.0 Å³ per cell
DFT formation energy   1031 meV per atom
SG   No. 123

---

[3]
A relaxed Os2PbAu crystal. Source: Alexandria via LeMat-Bulk, functional GGA-PBE.

POSCAR file:
```
Os2PbAu
1.0
3.8952 -1.4197 0.0000
3.8952 1.4197 0.0000
-0.9884 0.0000 7.3773
Os Pb Au
2 1 1
direct
0.0000 0.0000 0.0000
0.2484 0.2484 0.8525
0.7424 0.7424 0.2907
0.5192 0.5192 0.5908
```

Output
Volume   81.6 Å³ per cell
DFT formation energy   698 meV per atom
SG   No. 8

---

[4]
A relaxed OsPb4Au crystal. Source: Alexandria via LeMat-Bulk, functional GGA-PBE.

POSCAR file:
```
OsPb4Au
1.0
0.0000 4.3644 4.3644
4.3644 0.0000 4.3644
4.3644 4.3644 0.0000
Os Pb Au
1 4 1
direct
0.0000 0.0000 0.0000
0.1236 0.6255 0.6255
0.6255 0.1236 0.6255
0.6255 0.6255 0.1236
0.6255 0.6255 0.6255
0.2500 0.2500 0.2500
```

Output
Volume   166.3 Å³ per cell
DFT formation energy   1168 meV per atom
SG   No. 216

---

[5]
A relaxed OsPdPb2Au crystal. Source: Alexandria via LeMat-Bulk, functional GGA-PBE.

POSCAR file:
```
OsPdPb2Au
1.0
5.1674 0.0000 0.0000
0.0000 5.1674 0.0000
0.0000 0.0000 5.0465
Os Pd Pb Au
1 1 2 1
direct
0.0000 0.0000 0.0000
0.5000 0.5000 0.5000
0.0000 0.5000 0.5000
0.5000 0.0000 0.5000
0.5000 0.5000 0.0000
```

Output
Volume   134.8 Å³ per cell
DFT formation energy   1280 meV per atom
SG   No. 123

---

[6]
A relaxed ReOs2PbAu crystal. Source: Alexandria via LeMat-Bulk, functional GGA-PBE.

POSCAR file:
```
ReOs2PbAu
1.0
4.9530 0.0000 0.0000
0.0000 4.9530 0.0000
0.0000 0.0000 5.0412
Re Os Pb Au
1 2 1 1
direct
0.0000 0.0000 0.0000
0.0000 0.5000 0.5000
0.5000 0.0000 0.5000
0.0000 0.0000 0.5000
0.5000 0.5000 0.0000
```

Output
Volume   123.7 Å³ per cell
DFT formation energy   3228 meV per atom
SG   No. 123

---

Q: Among the records above, which one has the highest volume?
A: OsPb4Au

---

Copy entry 6 word for word.
A relaxed ReOs2PbAu crystal. Source: Alexandria via LeMat-Bulk, functional GGA-PBE.

POSCAR file:
```
ReOs2PbAu
1.0
4.9530 0.0000 0.0000
0.0000 4.9530 0.0000
0.0000 0.0000 5.0412
Re Os Pb Au
1 2 1 1
direct
0.0000 0.0000 0.0000
0.0000 0.5000 0.5000
0.5000 0.0000 0.5000
0.0000 0.0000 0.5000
0.5000 0.5000 0.0000
```

Output
Volume   123.7 Å³ per cell
DFT formation energy   3228 meV per atom
SG   No. 123

---

Q: Which value of DFT formation energy does entry 3 give?
A: 698 meV per atom

---

Q: Which of these has the lowest volume?
A: number 2